(1)
The following is a PBE calculation of LiErMgTe3 after structural relaxation, from OQMD.

```
12
Lattice="2.1578 -7.1756 0.0000 2.1578 7.1756 0.0000 0.0000 0.0000 11.6470" Properties=species:S:1:pos:R:3 pbc="T T T"
Li 2.1578 3.9432 8.7352
Li 2.1578 -3.9432 2.9117
Er 0.0000 0.0000 0.0000
Er 0.0000 0.0000 5.8235
Mg 2.1578 0.2855 2.9117
Mg 2.1578 -0.2855 8.7352
Te 2.1578 5.7352 2.9117
Te 2.1578 2.0223 0.7833
Te 2.1578 2.0223 5.0401
Te 2.1578 -2.0223 6.6068
Te 2.1578 -2.0223 10.8636
Te 2.1578 -5.7352 8.7352
```

Space group: Cmcm

***

(2)
The following is a PBE calculation of Li5Er3N3 after structural relaxation, from OQMD.

```
11
Lattice="6.4944 0.0000 0.0000 -3.2472 5.6243 0.0000 0.0000 0.0000 4.5053" Properties=species:S:1:pos:R:3 pbc="T T T"
Li -0.9263 1.6044 0.0000
Li 1.8527 0.0000 0.0000
Li 0.0000 3.7496 0.0000
Li 3.2472 1.8748 0.0000
Li 2.3209 4.0199 0.0000
Er -2.1440 3.7135 2.2526
Er 1.1032 1.9108 2.2526
Er 4.2880 0.0000 2.2526
N -2.0319 3.5194 0.0000
N 1.2153 2.1049 0.0000
N 4.0639 0.0000 0.0000
```

Space group: P-62m

***

(3)
The following is a PBE calculation of NaLiEr after structural relaxation, from OQMD.

```
3
Lattice="0.0000 3.7156 3.7156 3.7156 0.0000 3.7156 3.7156 3.7156 0.0000" Properties=species:S:1:pos:R:3 pbc="T T T"
Na 0.0000 0.0000 0.0000
Li 3.7156 3.7156 3.7156
Er 5.5734 5.5734 5.5734
```

Relative energy among the computed polymorphs, meV per atom: 246.1
Space group: F-43m

***

(4)
The following is a PBE calculation of NaLiEr after structural relaxation, from OQMD.

```
3
Lattice="0.0000 3.5770 3.5770 3.5770 0.0000 3.5770 3.5770 3.5770 0.0000" Properties=species:S:1:pos:R:3 pbc="T T T"
Na 0.0000 0.0000 0.0000
Li 5.3654 5.3654 5.3654
Er 3.5770 3.5770 3.5770
```

Relative energy among the computed polymorphs, meV per atom: 0.0
Space group: F-43m

***

(5)
The following is a PBE calculation of LiErNb after structural relaxation, from OQMD.

```
3
Lattice="0.0000 3.3952 3.3952 3.3952 0.0000 3.3952 3.3952 3.3952 0.0000" Properties=species:S:1:pos:R:3 pbc="T T T"
Li 0.0000 0.0000 0.0000
Er 1.6976 1.6976 1.6976
Nb 3.3952 3.3952 3.3952
```

Relative energy among the computed polymorphs, meV per atom: 125.7
Space group: F-43m

***

(6)
The following is a PBE calculation of LiErNb after structural relaxation, from OQMD.

```
3
Lattice="0.0000 3.3743 3.3743 3.3743 0.0000 3.3743 3.3743 3.3743 0.0000" Properties=species:S:1:pos:R:3 pbc="T T T"
Li 0.0000 0.0000 0.0000
Er 3.3743 3.3743 3.3743
Nb 5.0614 5.0614 5.0614
```

Relative energy among the computed polymorphs, meV per atom: 0.0
Space group: F-43m

***

(7)
The following is a PBE calculation of Li4ErNbO6 after structural relaxation, from OQMD.

```
12
Lattice="2.7016 -4.6731 0.0000 2.7016 4.6731 0.0000 -1.8051 0.0000 4.8859" Properties=species:S:1:pos:R:3 pbc="T T T"
Li 0.0000 0.0000 0.0000
Li 2.7016 1.2654 0.0000
Li 2.7016 -1.7778 0.0000
Li 1.7991 -3.2811 2.4430
Er 1.7991 2.9516 2.4430
Nb 1.7991 -0.1740 2.4430
O 0.9770 1.2907 1.2616
O 0.1337 -0.1453 3.5782
O 0.9729 -1.5856 1.2742
O 2.6212 1.2907 3.6243
O 3.4645 -0.1453 1.3077
O 2.6253 -1.5856 3.6117
```

Space group: C2

***

(8)
The following is a PBE calculation of Li2Er2Ni15 after structural relaxation, from OQMD.

```
19
Lattice="4.1343 2.3869 4.0083 -4.1343 2.3869 4.0083 0.0000 -4.7739 4.0083" Properties=species:S:1:pos:R:3 pbc="T T T"
Li 0.0000 0.0000 1.1273
Li 0.0000 0.0000 10.8978
Er 0.0000 0.0000 4.1324
Er 0.0000 0.0000 7.8926
Ni -4.1343 0.0000 6.0125
Ni -1.2649 -2.5830 4.0083
Ni -2.0671 1.1935 2.0042
Ni -2.8694 0.1961 4.0083
Ni -2.0558 -1.1869 5.8994
Ni 1.2649 -2.5830 4.0083
Ni -1.6045 2.3869 4.0083
Ni 0.0000 -2.3738 6.1256
Ni -2.0558 1.1869 6.1256
Ni 2.0672 1.1935 2.0042
Ni 2.0558 -1.1869 5.8994
Ni 0.0000 2.3738 5.8994
Ni 2.8694 0.1961 4.0083
Ni 1.6045 2.3869 4.0083
Ni 2.0558 1.1869 6.1256
```

Space group: R-3m

***

| no. | raw total energy (Ha/atom) | M_tot (μB per formula unit) |
| --- | --- | --- |
| 1 | -0.145 | 0.000 |
| 2 | -0.183 | 0.011 |
| 3 | -0.063 | 0.020 |
| 4 | -0.072 | 0.007 |
| 5 | -0.153 | 2.965 |
| 6 | -0.157 | 2.738 |
| 7 | -0.252 | 0.000 |
| 8 | -0.195 | 4.798 |